Compound: Nd2Dy3Y3
Source: Alexandria
Functional: GGA-PBE
Structure: optimized geometry

Output
- ΔH_f (0 K): 3 meV/atom
- Excess energy over the best structure of this formula in the dataset: 0.00 eV per formula unit

Structure (POSCAR):
```
Nd2Dy3Y3
1.0
-3.540 0.682 0.063
-0.504 -2.065 -5.870
-4.022 -11.412 1.031
Nd Dy Y
2 3 3
Direct
0.249 0.248 0.501
0.751 0.752 0.499
0.624 0.956 0.753
0.500 0.500 0.000
0.376 0.044 0.247
0.124 0.458 0.752
0.876 0.542 0.248
0.000 0.000 0.000
```